(a)
{
  "formula": "Al3CrC",
  "functional": "PBE",
  "state": "relaxed",
  "magnetic_moment_mub_per_fu": 2.106,
  "spacegroup": "Pm-3m",
  "lattice": [[-3.732, 2.090, 1.770], [-1.057, -3.859, 2.328], [2.527, 1.473, 3.588]],
  "species": ["C", "Al", "Al", "Al", "Cr"],
  "fractional_positions": [[0.500, 0.500, 0.500], [0.500, 0.000, 0.000], [0.000, 0.500, 0.000], [0.000, 0.000, 0.500], [0.000, 0.000, 0.000]]
}

=====

(b)
{
  "formula": "Al3CrC",
  "functional": "PBE",
  "state": "relaxed",
  "magnetic_moment_mub_per_fu": 0.000,
  "spacegroup": "Pm-3m",
  "lattice": [[4.020, 0.000, 0.000], [0.000, 4.020, 0.000], [0.000, 0.000, 4.020]],
  "species": ["Al", "Al", "Al", "C", "Cr"],
  "fractional_positions": [[0.000, 0.000, 0.500], [0.500, 0.000, 0.000], [0.000, 0.500, 0.000], [0.000, 0.000, 0.000], [0.500, 0.500, 0.500]]
}

=====

Short version: (b), (a), most stable first.